# VPd2Se4

Crystalline VPd2Se4 at its relaxed geometry (PBE, Alexandria via LeMat-Bulk).

POSCAR file:
```
VPd2Se4
1.0
3.633 0.000 0.000
0.000 6.564 -0.192
-1.816 -3.378 5.722
V Pd Se
1 2 4
Direct
0.000 0.000 0.000 V
0.736 0.770 0.472 Pd
0.264 0.230 0.528 Pd
0.897 0.224 0.793 Se
0.103 0.776 0.207 Se
0.629 0.289 0.257 Se
0.371 0.711 0.743 Se
```

Magnetization in Bohr magnetons per cell: 0.01
Formation energy without anion corrections in eV per atom: -0.3985
Symmetry: C2/m, No. 12
Calculated density in g cm⁻³: 7.18
Energy above the lowest structure with this stoichiometry in eV per atom: 0.000